Density functional theory data (PBE-GGA) for crystalline Ac3CePr2Se6 at its relaxed geometry.

The structure belongs to space group C2/m (No. 12); the cell edges are 7.528, 13.063 and 7.571 Å and the angles 90.00°, 109.46° and 90.00°. The asymmetric unit holds Ac at (0.000, 0.000, 0.000), Ac at (0.000, 0.331, 0.000), Ce at (0.000, 0.500, 0.500), Pr at (0.000, 0.167, 0.500), Se at (0.243, 0.335, 0.736) and Se at (0.249, 0.000, 0.738).

The calculation puts the uncorrected formation energy at -22.17 eV per formula unit. The value obtained for the magnetization is 2.00 μB/cell. The density of states at the Fermi level comes out at 0.95 states/eV per atom.